No. 1
Here is an optimized crystal structure of Rb4SmBr6 from the Alexandria database. Energies are from GGA-PBE.

```
data_Rb4SmBr6
_cell_length_a 9.621
_cell_length_b 9.621
_cell_length_c 9.868
_cell_angle_alpha 90.00
_cell_angle_beta 90.00
_cell_angle_gamma 90.00
_space_group_name_H-M_alt 'P 1'
_space_group_IT_number 1
loop_
_space_group_symop_operation_xyz
'x,y,z'
loop_
_atom_site_label
_atom_site_type_symbol
_atom_site_fract_x
_atom_site_fract_y
_atom_site_fract_z
_atom_site_occupancy
Rb1 Rb 0.173 0.327 0.250 1
Rb2 Rb 0.173 0.327 0.750 1
Rb3 Rb 0.327 0.827 0.250 1
Rb4 Rb 0.327 0.827 0.750 1
Rb5 Rb 0.673 0.173 0.250 1
Rb6 Rb 0.673 0.173 0.750 1
Rb7 Rb 0.827 0.673 0.250 1
Rb8 Rb 0.827 0.673 0.750 1
Sm1 Sm 0.000 0.000 0.000 1
Sm2 Sm 0.500 0.500 0.500 1
Br1 Br 0.000 0.000 0.293 1
Br2 Br 0.000 0.000 0.707 1
Br3 Br 0.093 0.703 0.000 1
Br4 Br 0.203 0.593 0.500 1
Br5 Br 0.297 0.093 0.000 1
Br6 Br 0.407 0.203 0.500 1
Br7 Br 0.500 0.500 0.207 1
Br8 Br 0.500 0.500 0.793 1
Br9 Br 0.593 0.797 0.500 1
Br10 Br 0.703 0.907 0.000 1
Br11 Br 0.797 0.407 0.500 1
Br12 Br 0.907 0.297 0.000 1
```

***

No. 2
Here is an optimized crystal structure of RbSm2Br8 from the Alexandria database. Energies are from GGA-PBE.

```
data_RbSm2Br8
_cell_length_a 8.559
_cell_length_b 8.559
_cell_length_c 5.693
_cell_angle_alpha 90.06
_cell_angle_beta 90.06
_cell_angle_gamma 115.97
_space_group_name_H-M_alt 'P 1'
_space_group_IT_number 1
loop_
_space_group_symop_operation_xyz
'x,y,z'
loop_
_atom_site_label
_atom_site_type_symbol
_atom_site_fract_x
_atom_site_fract_y
_atom_site_fract_z
_atom_site_occupancy
Rb1 Rb 0.000 0.000 0.000 1
Sm1 Sm 0.304 0.696 0.500 1
Sm2 Sm 0.696 0.304 0.500 1
Br1 Br 0.056 0.326 0.501 1
Br2 Br 0.261 0.739 0.000 1
Br3 Br 0.326 0.056 0.501 1
Br4 Br 0.499 0.499 0.248 1
Br5 Br 0.501 0.501 0.752 1
Br6 Br 0.674 0.944 0.499 1
Br7 Br 0.739 0.261 0.000 1
Br8 Br 0.944 0.674 0.499 1
```

***

no.,magnetic moment (μB/atom),formation energy without anion corrections (meV per atom)
1,0.076,-1648
2,0.017,-1661